First-principles (GGA-PBE) data for a geometry-optimized NbCuNi3 structure, as listed in the Alexandria database.

Results
- D(E_F) (states/eV/cell) = 15.5
- energy above the lowest structure with this stoichiometry (eV per atom) = 0.0946
- formation energy from the elements (meV per atom) = 63

The structure in CIF format:
```
data_NbCuNi3
_chemical_formula_sum 'Nb4 Cu4 Ni12'
_symmetry_space_group_name_H-M 'C m c m'
_symmetry_Int_Tables_number 63
_symmetry_space_group_name_Hall '-C 2c 2'
_cell_length_a 4.645
_cell_length_b 12.943
_cell_length_c 4.444
_cell_angle_alpha 90.00
_cell_angle_beta 90.00
_cell_angle_gamma 90.00
loop_
_atom_site_label
_atom_site_type_symbol
_atom_site_fract_x
_atom_site_fract_y
_atom_site_fract_z
Nb1 Nb 0.000 0.191 0.250
Cu1 Cu 0.000 0.444 0.750
Ni1 Ni 0.000 0.000 0.000
Ni2 Ni 0.243 0.364 0.250
```

***

First-principles (GGA-PBE) data for a geometry-optimized CrPBr2 structure, as listed in the Alexandria database.

Results
- energy above the lowest structure with this stoichiometry (eV per atom) = 0.0000
- raw formation energy (meV/atom) = -379

The structure in CIF format:
```
data_CrPBr2
_chemical_formula_sum 'Cr2 P2 Br4'
_symmetry_space_group_name_H-M 'C 1 m 1'
_symmetry_Int_Tables_number 8
_symmetry_space_group_name_Hall 'C -2y'
_cell_length_a 6.438
_cell_length_b 3.718
_cell_length_c 8.600
_cell_angle_alpha 90.00
_cell_angle_beta 91.47
_cell_angle_gamma 90.00
loop_
_atom_site_label
_atom_site_type_symbol
_atom_site_fract_x
_atom_site_fract_y
_atom_site_fract_z
Cr1 Cr 0.000 0.000 0.000
P1 P 0.338 0.000 0.126
Br1 Br 0.160 0.500 0.814
Br2 Br 0.346 0.000 0.382
```

***

First-principles (GGA-PBE) data for a geometry-optimized PrSb2Rh3 structure, as listed in the Alexandria database.

Results
- D(E_F) (states/eV/cell) = 5.5
- energy above the lowest structure with this stoichiometry (eV per atom) = 0.2932
- raw formation energy (meV/atom) = -438

The structure in CIF format:
```
data_PrSb2Rh3
_chemical_formula_sum 'Pr2 Sb4 Rh6'
_symmetry_space_group_name_H-M 'P m m n'
_symmetry_Int_Tables_number 59
_cell_length_a 4.053
_cell_length_b 15.294
_cell_length_c 3.870
_cell_angle_alpha 90.00
_cell_angle_beta 90.00
_cell_angle_gamma 90.00
loop_
_symmetry_equiv_pos_as_xyz
'x,y,z'
'-x,-y,-z'
'-x+1/2,-y+1/2,z'
'x+1/2,y+1/2,-z'
'x+1/2,-y,-z'
'-x+1/2,y,z'
'-x,y+1/2,-z'
'x,-y+1/2,z'
loop_
_atom_site_label
_atom_site_type_symbol
_atom_site_fract_x
_atom_site_fract_y
_atom_site_fract_z
Pr1 Pr 0.250 0.250 0.242
Sb1 Sb 0.250 0.575 0.751
Rh1 Rh 0.250 0.102 0.745
Rh2 Rh 0.250 0.750 0.258
```

***

First-principles (GGA-PBE) data for a geometry-optimized BeZn2HS structure, as listed in the Alexandria database.

Results
- D(E_F) (states/eV/cell) = 2.1

The structure in CIF format:
```
data_BeZn2HS
_chemical_formula_sum 'Be1 Zn2 H1 S1'
_symmetry_space_group_name_H-M 'P 4/m m m'
_symmetry_Int_Tables_number 123
_symmetry_space_group_name_Hall '-P 4 2'
_cell_length_a 4.858
_cell_length_b 4.858
_cell_length_c 2.983
_cell_angle_alpha 90.00
_cell_angle_beta 90.00
_cell_angle_gamma 90.00
loop_
_atom_site_label
_atom_site_type_symbol
_atom_site_fract_x
_atom_site_fract_y
_atom_site_fract_z
Be1 Be 0.000 0.000 0.000
Zn1 Zn 0.000 0.500 0.500
H1 H 0.500 0.500 0.000
S1 S 0.500 0.500 0.500
```

***

First-principles (GGA-PBE) data for a geometry-optimized Ac5N4Cl structure, as listed in the Alexandria database.

Results
- D(E_F) (states/eV/cell) = 6.1
- raw formation energy (meV/atom) = -1190

The structure in CIF format:
```
data_Ac5N4Cl
_chemical_formula_sum 'Ac10 N8 Cl2'
_symmetry_space_group_name_H-M 'C 1 2/m 1'
_symmetry_Int_Tables_number 12
_symmetry_space_group_name_Hall '-C 2y'
_cell_length_a 13.215
_cell_length_b 3.934
_cell_length_c 10.046
_cell_angle_alpha 90.00
_cell_angle_beta 120.23
_cell_angle_gamma 90.00
loop_
_atom_site_label
_atom_site_type_symbol
_atom_site_fract_x
_atom_site_fract_y
_atom_site_fract_z
Ac1 Ac 0.000 0.000 0.000
Ac2 Ac 0.110 0.500 0.371
Ac3 Ac 0.210 0.000 0.823
N1 N 0.103 0.500 0.901
N2 N 0.195 0.000 0.296
Cl1 Cl 0.000 0.000 0.500
```

***

First-principles (GGA-PBE) data for a geometry-optimized CsSr3Rh structure, as listed in the Alexandria database.

Results
- D(E_F) (states/eV/cell) = 4.7
- energy above the lowest structure with this stoichiometry (eV per atom) = 0.0000
- formation energy from the elements (meV per atom) = -59

The structure in CIF format:
```
data_CsSr3Rh
_chemical_formula_sum 'Cs1 Sr3 Rh1'
_symmetry_space_group_name_H-M 'P m -3 m'
_symmetry_Int_Tables_number 221
_symmetry_space_group_name_Hall '-P 4 2 3'
_cell_length_a 6.131
_cell_length_b 6.131
_cell_length_c 6.131
_cell_angle_alpha 90.00
_cell_angle_beta 90.00
_cell_angle_gamma 90.00
loop_
_atom_site_label
_atom_site_type_symbol
_atom_site_fract_x
_atom_site_fract_y
_atom_site_fract_z
Cs1 Cs 0.000 0.000 0.000
Sr1 Sr 0.000 0.500 0.500
Rh1 Rh 0.500 0.500 0.500
```

***

First-principles (GGA-PBE) data for a geometry-optimized GeTe2PbN structure, as listed in the Alexandria database.

Results
- D(E_F) (states/eV/cell) = 3.8
- energy above the lowest structure with this stoichiometry (eV per atom) = 0.6923
- raw formation energy (meV/atom) = 1131

The structure in CIF format:
```
data_GeTe2PbN
_chemical_formula_sum 'Ge1 Te2 Pb1 N1'
_symmetry_space_group_name_H-M 'P 4/m m m'
_symmetry_Int_Tables_number 123
_symmetry_space_group_name_Hall '-P 4 2'
_cell_length_a 5.962
_cell_length_b 5.962
_cell_length_c 4.444
_cell_angle_alpha 90.00
_cell_angle_beta 90.00
_cell_angle_gamma 90.00
loop_
_atom_site_label
_atom_site_type_symbol
_atom_site_fract_x
_atom_site_fract_y
_atom_site_fract_z
Ge1 Ge 0.000 0.000 0.000
Te1 Te 0.000 0.500 0.500
Pb1 Pb 0.500 0.500 0.500
N1 N 0.500 0.500 0.000
```

***

First-principles (GGA-PBE) data for a geometry-optimized SrTcMo2Br structure, as listed in the Alexandria database.

Results
- D(E_F) (states/eV/cell) = 4.2
- raw formation energy (meV/atom) = 905

The structure in CIF format:
```
data_SrTcMo2Br
_chemical_formula_sum 'Sr1 Tc1 Mo2 Br1'
_symmetry_space_group_name_H-M 'P 4/m m m'
_symmetry_Int_Tables_number 123
_symmetry_space_group_name_Hall '-P 4 2'
_cell_length_a 4.690
_cell_length_b 4.690
_cell_length_c 6.672
_cell_angle_alpha 90.00
_cell_angle_beta 90.00
_cell_angle_gamma 90.00
loop_
_atom_site_label
_atom_site_type_symbol
_atom_site_fract_x
_atom_site_fract_y
_atom_site_fract_z
Sr1 Sr 0.000 0.000 0.000
Tc1 Tc 0.000 0.000 0.500
Mo1 Mo 0.000 0.500 0.500
Br1 Br 0.500 0.500 0.000
```

***

Listing total DFT energy (no corrections) for the structures above in their given order: -124.79; -39.79; -75.41; -11.32; -135.17; -13.55; -17.28; -30.86 eV/cell.